[1]
# Ca2ScBr

A relaxed Ca2ScBr crystal (PBE-GGA, Alexandria).

Computed properties:
The calculated total energy comes out at -13.14 eV/cell.

```
4
Lattice="6.643 0.003 0.004 5.625 3.534 0.004 3.090 0.891 5.571" Properties=species:S:1:pos:R:3 pbc="T T T"
Sc 3.839 1.107 1.395
Ca 3.424 0.987 5.371
Ca 7.344 2.118 2.989
Br 11.518 3.321 4.184
```

[2]
# Dy3TmPb2

A relaxed Dy3TmPb2 crystal (PBE-GGA, Alexandria).

Computed properties:
The calculated total energy comes out at -28.18 eV/cell.

```
6
Lattice="-0.413 -1.752 -4.179 -3.512 -2.528 1.407 -5.374 6.294 -2.108" Properties=species:S:1:pos:R:3 pbc="T T T"
Dy -2.039 1.270 -2.808
Dy -5.298 2.884 -0.686
Dy 0.000 0.000 0.000
Tm -1.962 -2.140 -1.386
Pb -4.053 3.629 -3.598
Pb -3.283 0.525 0.104
```

[3]
# Re2HgOs2

A relaxed Re2HgOs2 crystal (PBE-GGA, Alexandria).

Computed properties:
The calculated total energy comes out at -90.96 eV/cell.

```
10
Lattice="7.733 0.000 0.000 0.000 7.733 0.000 0.000 0.000 2.779" Properties=species:S:1:pos:R:3 pbc="T T T"
Re 2.909 6.775 0.000
Re 6.775 4.824 0.000
Re 4.824 0.957 0.000
Re 0.957 2.909 0.000
Os 1.248 5.115 1.390
Os 5.115 6.484 1.390
Os 6.484 2.618 1.390
Os 2.618 1.248 1.390
Hg 0.000 0.000 0.000
Hg 3.866 3.866 0.000
```